Material: Cs2Sn2Cl5
Method: DFT, PBE
State: optimized geometry

The structure in CIF format:
```
data_Cs2Sn2Cl5
_cell_length_a 5.712
_cell_length_b 5.712
_cell_length_c 9.305
_cell_angle_alpha 90.00
_cell_angle_beta 90.00
_cell_angle_gamma 90.00
_space_group_name_H-M_alt 'P 4/m m m'
_space_group_IT_number 123
_space_group_name_Hall '-P 4 2'
loop_
_atom_site_label
_atom_site_fract_x
_atom_site_fract_y
_atom_site_fract_z
Cs1 0.000 0.000 0.000
Cs2 0.000 0.000 0.500
Sn1 0.500 0.500 0.197
Cl1 0.000 0.500 0.225
Cl2 0.500 0.500 0.500
```

Results
relative energy among the computed polymorphs = 0.000 eV/atom

Material: Cs3Sn5Cl12
Method: DFT, PBE
State: optimized geometry

The structure in CIF format:
```
data_Cs3Sn5Cl12
_cell_length_a 18.468
_cell_length_b 18.468
_cell_length_c 18.468
_cell_angle_alpha 90.00
_cell_angle_beta 90.00
_cell_angle_gamma 90.00
_space_group_name_H-M_alt 'I a -3 d'
_space_group_IT_number 230
_space_group_name_Hall '-I 4bd 2c 3'
loop_
_atom_site_label
_atom_site_fract_x
_atom_site_fract_y
_atom_site_fract_z
Cs1 0.000 0.250 0.125
Sn1 0.000 0.000 0.000
Sn2 0.000 0.250 0.375
Cl1 0.031 0.052 0.645
```

Material: CsSnCl3
Method: DFT, PBE
State: optimized geometry

The structure in CIF format:
```
data_CsSnCl3
_cell_length_a 5.627
_cell_length_b 5.627
_cell_length_c 5.627
_cell_angle_alpha 90.00
_cell_angle_beta 90.00
_cell_angle_gamma 90.00
_space_group_name_H-M_alt 'P m -3 m'
_space_group_IT_number 221
_space_group_name_Hall '-P 4 2 3'
loop_
_atom_site_label
_atom_site_fract_x
_atom_site_fract_y
_atom_site_fract_z
Cs1 0.000 0.000 0.000
Sn1 0.500 0.500 0.500
Cl1 0.000 0.500 0.500
```

Raw formation energy, record by record: -1.32, -1.19, -1.45 eV/atom